(1)
Entry from Alexandria: an optimized crystal structure of La6Y2Ho (PBE).

It has space group P-6m2 (No. 187), with a = 3.6677 Å, b = 3.6677 Å, c = 27.6183 Å, α = 90.00°, β = 90.00° and γ = 120.00°. The inequivalent atoms are La at (0.0000, 0.0000, 0.0659), La at (0.0000, 0.0000, 0.2784), La at (0.3333, 0.6667, 0.3948), Y at (0.3333, 0.6667, 0.1710) and Ho at (0.0000, 0.0000, 0.5000).

The total moment comes out at 0.000 μB per atom. Its final energy is -46.57 eV per cell. For the density of states at the Fermi level, the calculation gives 1.926 states/eV/atom. The value obtained for the formation energy from the elements is 0.5 eV per formula unit.

(2)
Entry from Alexandria: an optimized crystal structure of La3Y3Ho5 (PBE).

It has space group P-62m (No. 189), with a = 11.2764 Å, b = 11.2764 Å, c = 3.4529 Å, α = 90.00°, β = 90.00° and γ = 120.00°. The inequivalent atoms are La at (0.0000, 0.3373, 0.0000), Y at (0.0000, 0.5945, 0.5000), Ho at (0.0000, 0.8406, 0.0000) and Ho at (0.3333, 0.6667, 0.0000).

The total moment comes out at 0.001 μB per atom. Its final energy is -53.45 eV per cell. For the density of states at the Fermi level, the calculation gives 1.578 states/eV/atom. The value obtained for the formation energy from the elements is 3.6 eV per formula unit.

(3)
Entry from Alexandria: an optimized crystal structure of La3Y8Ho3 (PBE).

It has space group Immm (No. 71), with a = 5.7330 Å, b = 10.8087 Å, c = 15.2872 Å, α = 90.00°, β = 90.00° and γ = 90.00°. The inequivalent atoms are La at (0.0000, 0.0000, 0.0000), La at (0.0000, 0.5000, 0.3161), Y at (0.0000, 0.1614, 0.2819), Y at (0.0000, 0.3405, 0.1014), Ho at (0.0000, 0.0000, 0.5000) and Ho at (0.0000, 0.2978, 0.5000).

The total moment comes out at 0.000 μB per atom. Its final energy is -157.43 eV per cell. For the density of states at the Fermi level, the calculation gives 1.770 states/eV/atom. The value obtained for the formation energy from the elements is 1.5 eV per formula unit.

(4)
Entry from Alexandria: an optimized crystal structure of La15YHo4 (PBE).

It has space group P4/mmm (No. 123), with a = 5.2048 Å, b = 5.2048 Å, c = 26.0199 Å, α = 90.00°, β = 90.00° and γ = 90.00°. The inequivalent atoms are La at (0.0000, 0.0000, 0.0000), La at (0.0000, 0.0000, 0.2004), La at (0.0000, 0.0000, 0.4001), La at (0.0000, 0.5000, 0.1006), La at (0.0000, 0.5000, 0.3002), La at (0.0000, 0.5000, 0.5000), Y at (0.5000, 0.5000, 0.0000), Ho at (0.5000, 0.5000, 0.2002) and Ho at (0.5000, 0.5000, 0.4001).

The total moment comes out at 0.000 μB per atom. Its final energy is -98.54 eV per cell. For the density of states at the Fermi level, the calculation gives 1.244 states/eV/atom. The value obtained for the formation energy from the elements is 0.1 eV per formula unit.

(5)
Entry from Alexandria: an optimized crystal structure of LaY12Ho7 (PBE).

It has space group R-3 (No. 148, hexagonal axes), with a = 15.0855 Å, b = 15.0855 Å, c = 9.9722 Å, α = 90.00°, β = 90.00° and γ = 120.00°. The inequivalent atoms are La at (0.0000, 0.0000, 0.0000), Y at (0.0387, 0.7883, 0.5763), Y at (0.0466, 0.8482, 0.2552), Ho at (0.0000, 0.0000, 0.5000) and Ho at (0.0705, 0.8230, 0.9280).

The total moment comes out at 0.000 μB per atom. Its final energy is -333.31 eV per cell. For the density of states at the Fermi level, the calculation gives 2.056 states/eV/atom. The value obtained for the formation energy from the elements is 3.4 eV per formula unit.

(6)
Entry from Alexandria: an optimized crystal structure of LaY6Ho12 (PBE).

It has space group R-3m (No. 166, hexagonal axes), with a = 15.1785 Å, b = 15.1785 Å, c = 9.8330 Å, α = 90.00°, β = 90.00° and γ = 120.00°. The inequivalent atoms are La at (0.0000, 0.0000, 0.0000), Y at (0.0460, 0.5230, 0.2023), Ho at (0.0000, 0.3916, 0.5000) and Ho at (0.0702, 0.1403, 0.3030).

The total moment comes out at 0.000 μB per atom. Its final energy is -271.03 eV per cell. For the density of states at the Fermi level, the calculation gives 1.321 states/eV/atom. The value obtained for the formation energy from the elements is 8.3 eV per formula unit.

> Which of these has the highest final energy?

La6Y2Ho